# PBE with a Hubbard U SrCa2CrF8, optimized geometry
# Density of states at the Fermi level   0.0000 states/eV/atom
# Total DFT energy (no corrections)   -5.893 eV per atom
data_SrCa2CrF8
_space_group_name_H-M_alt 'P m m m'
_space_group_IT_number 47
_space_group_name_Hall '-P 2 2'
_cell_length_a 4.088
_cell_length_b 5.538
_cell_length_c 7.551
_cell_angle_alpha 90.00
_cell_angle_beta 90.00
_cell_angle_gamma 90.00
loop_
_atom_site_label
_atom_site_type_symbol
_atom_site_fract_x
_atom_site_fract_y
_atom_site_fract_z
Sr1 Sr 0.000 0.000 0.000
Ca1 Ca 0.500 0.500 0.264
Cr1 Cr 0.000 0.000 0.500
F1 F 0.000 0.249 0.276
F2 F 0.500 0.247 0.500
F3 F 0.500 0.260 0.000